Entry 1:
First-principles (PBE-GGA) data for a relaxed structure of U3GaRu2, as listed in Alexandria via LeMat-Bulk.

The structure in POSCAR format:
```
U3GaRu2
1.0
3.878 -5.375 0.000
3.878 5.375 0.000
-0.178 0.000 5.538
U Ga Ru
6 2 4
Cartesian
3.744 2.961 4.154 U
2.671 0.259 0.080 U
2.582 -0.259 2.849 U
4.996 0.259 2.689 U
4.907 -0.259 5.458 U
3.833 -2.961 1.385 U
3.833 4.821 1.385 Ga
3.744 -4.821 4.154 Ga
2.320 2.655 1.451 Ru
5.346 2.655 1.318 Ru
2.231 -2.655 4.220 Ru
5.257 -2.655 4.088 Ru
```

As for the total energy: -9.40 eV/atom. The calculation puts the volume at 19.24 Å³/atom.



Entry 2:
First-principles (PBE-GGA) data for a relaxed structure of YMn2Fe, as listed in Alexandria via LeMat-Bulk.

The structure in POSCAR format:
```
YMn2Fe
1.0
1.983 1.145 4.987
-1.983 1.145 4.987
0.000 -2.290 4.987
Y Mn Fe
1 2 1
Cartesian
0.000 0.000 0.000 Y
0.000 0.000 7.383 Mn
0.000 0.000 12.034 Mn
0.000 0.000 3.003 Fe
```

As for the total energy: -8.15 eV/atom. The calculation puts the volume at 16.98 Å³/atom.



Entry 3:
First-principles (PBE-GGA) data for a relaxed structure of TePt2I8, as listed in Alexandria via LeMat-Bulk.

The structure in POSCAR format:
```
TePt2I8
1.0
4.393 -6.178 0.000
4.393 6.178 0.000
-3.185 0.000 9.790
Te Pt I
1 2 8
Cartesian
0.000 0.000 0.000 Te
-0.663 0.000 6.631 Pt
6.265 0.000 3.158 Pt
-1.173 1.882 8.597 I
-0.029 0.000 4.068 I
-1.173 -1.882 8.597 I
1.910 0.000 7.193 I
3.692 0.000 2.597 I
6.775 1.882 1.193 I
5.631 0.000 5.722 I
6.775 -1.882 1.193 I
```

The energy relative to the elements, uncorrected comes out at 0.00 eV per atom. The calculation puts the volume at 48.31 Å³/atom.



Entry 4:
First-principles (PBE-GGA) data for a relaxed structure of NdSm5Dy5, as listed in Alexandria via LeMat-Bulk.

The structure in POSCAR format:
```
NdSm5Dy5
1.0
6.124 0.000 0.000
-3.062 5.303 0.000
0.000 0.000 11.701
Nd Sm Dy
1 5 5
Cartesian
0.000 0.000 0.000 Nd
0.000 0.000 3.773 Sm
0.000 0.000 7.928 Sm
0.000 3.536 1.832 Sm
0.000 3.536 9.868 Sm
3.062 1.768 0.000 Sm
-1.526 2.654 5.850 Dy
1.526 2.654 5.850 Dy
0.000 5.298 5.850 Dy
3.062 1.768 3.111 Dy
3.062 1.768 8.590 Dy
```

As for the total energy: -4.37 eV/atom. The calculation puts the volume at 34.54 Å³/atom.



Entry 5:
First-principles (PBE-GGA) data for a relaxed structure of AlSCl, as listed in Alexandria via LeMat-Bulk.

The structure in POSCAR format:
```
AlSCl
1.0
3.656 0.000 0.000
1.828 3.166 0.000
1.807 1.016 6.761
Al S Cl
1 1 1
Cartesian
0.000 0.000 0.000 Al
3.656 2.111 0.973 S
1.808 1.017 4.671 Cl
```

The energy relative to the elements, uncorrected comes out at -1.27 eV per atom. The calculation puts the volume at 26.08 Å³/atom.



Entry 6:
First-principles (PBE-GGA) data for a relaxed structure of RbMgAl2Cl8, as listed in Alexandria via LeMat-Bulk.

The structure in POSCAR format:
```
RbMgAl2Cl8
1.0
3.331 1.923 9.711
-3.331 1.923 9.711
0.000 -3.847 9.711
Rb Mg Al Cl
1 1 2 8
Cartesian
0.000 0.000 0.000 Rb
0.000 0.000 14.567 Mg
0.000 0.000 7.344 Al
0.000 0.000 21.790 Al
-1.281 -2.050 12.770 Cl
-2.416 0.084 16.365 Cl
0.000 0.000 9.501 Cl
-1.135 2.135 12.770 Cl
1.135 -2.135 16.365 Cl
0.000 0.000 19.634 Cl
2.416 -0.084 12.770 Cl
1.281 2.050 16.365 Cl
```

The energy relative to the elements, uncorrected comes out at -1.50 eV per atom. The calculation puts the volume at 31.11 Å³/atom.



Entry 7:
First-principles (PBE-GGA) data for a relaxed structure of CdS2N2, as listed in Alexandria via LeMat-Bulk.

The structure in POSCAR format:
```
CdS2N2
1.0
4.144 0.000 0.000
0.000 4.144 0.000
0.000 0.000 5.832
Cd S N
1 2 2
Cartesian
0.000 0.000 0.000 Cd
0.000 0.000 2.916 S
2.072 2.072 2.916 S
0.000 2.072 0.000 N
2.072 0.000 0.000 N
```

The energy relative to the elements, uncorrected comes out at 2.07 eV per atom. The calculation puts the volume at 20.03 Å³/atom.



Entry 8:
First-principles (PBE-GGA) data for a relaxed structure of LaY2BeHg, as listed in Alexandria via LeMat-Bulk.

The structure in POSCAR format:
```
LaY2BeHg
1.0
5.287 0.000 0.000
0.000 5.287 0.000
0.000 0.000 5.236
La Y Be Hg
1 2 1 1
Cartesian
0.000 0.000 0.000 La
0.000 2.643 2.618 Y
2.643 0.000 2.618 Y
0.000 0.000 2.618 Be
2.643 2.643 0.000 Hg
```

As for the total energy: -4.22 eV/atom. The calculation puts the volume at 29.26 Å³/atom.



Entry 9:
First-principles (PBE-GGA) data for a relaxed structure of KRbCdAu, as listed in Alexandria via LeMat-Bulk.

The structure in POSCAR format:
```
KRbCdAu
1.0
4.258 -2.460 0.000
4.258 2.460 0.000
-2.863 0.000 8.519
K Rb Cd Au
1 1 1 1
Cartesian
0.000 0.000 0.000 K
5.654 0.000 4.000 Rb
2.815 0.000 6.381 Cd
-0.025 0.000 6.378 Au
```

As for the total energy: -1.77 eV/atom. The calculation puts the volume at 44.63 Å³/atom.



Entry 10:
First-principles (PBE-GGA) data for a relaxed structure of CaTaPb2, as listed in Alexandria via LeMat-Bulk.

The structure in POSCAR format:
```
CaTaPb2
1.0
0.000 3.804 3.804
3.804 0.000 3.804
3.804 3.804 0.000
Ca Ta Pb
1 1 2
Cartesian
0.000 0.000 0.000 Ca
1.902 1.902 1.902 Ta
3.804 3.804 3.804 Pb
5.707 5.707 5.707 Pb
```

As for the total energy: -4.65 eV/atom. The calculation puts the volume at 27.53 Å³/atom.



Entry 11:
First-principles (PBE-GGA) data for a relaxed structure of Nd6Co2IrBr3, as listed in Alexandria via LeMat-Bulk.

The structure in POSCAR format:
```
Nd6Co2IrBr3
1.0
3.511 -6.082 0.000
3.511 6.082 0.000
-2.337 0.000 7.807
Nd Co Ir Br
6 2 1 3
Cartesian
-0.028 2.082 6.298 Nd
1.107 0.000 1.506 Nd
-0.028 -2.082 6.298 Nd
4.713 2.082 1.509 Nd
3.578 0.000 6.300 Nd
4.713 -2.082 1.509 Nd
3.511 4.055 0.000 Co
3.511 -4.055 0.000 Co
3.511 0.000 0.000 Ir
-1.168 0.000 3.903 Br
2.343 2.033 3.903 Br
2.343 -2.033 3.903 Br
```

The energy relative to the elements, uncorrected comes out at -0.84 eV per atom. The calculation puts the volume at 27.78 Å³/atom.



Entry 12:
First-principles (PBE-GGA) data for a relaxed structure of Li3La, as listed in Alexandria via LeMat-Bulk.

The structure in POSCAR format:
```
Li3La
1.0
0.000 3.743 3.743
3.743 0.000 3.743
3.743 3.743 0.000
Li La
3 1
Cartesian
0.000 0.000 0.000 Li
1.871 1.871 1.871 Li
5.614 5.614 5.614 Li
3.743 3.743 3.743 La
```

As for the total energy: -2.46 eV/atom. The calculation puts the volume at 26.21 Å³/atom.